# 1
A relaxed structure of TbHoTe2. Source: the Open Quantum Materials Database, functional PBE-GGA.

## Properties
space-group type: P-42_1m (113)
energy: -4.98 eV/atom
crystal system: tetragonal
energy above the most stable polymorph in this dataset: 73 kJ/mol of formula units

Unit cell a=7.667 b=7.667 c=4.063 alpha=90.00 beta=90.00 gamma=90.00
Fractional coordinates of all 8 atoms:
Tb1 0.000 0.500 0.183
Tb2 0.500 0.000 0.817
Ho1 0.000 0.000 0.000
Ho2 0.500 0.500 0.000
Te1 0.217 0.283 0.677
Te2 0.283 0.783 0.323
Te3 0.717 0.217 0.323
Te4 0.783 0.717 0.677

# 2
A relaxed structure of TbHoZnTe3. Source: the Open Quantum Materials Database, functional PBE-GGA.

## Properties
space-group type: Cmcm (63)
energy: -4.26 eV/atom
crystal system: orthorhombic

Unit cell a=7.877 b=7.877 c=10.497 alpha=90.00 beta=90.00 gamma=149.68
Fractional coordinates of all 12 atoms:
Tb1 0.000 0.000 0.000
Tb2 0.000 0.000 0.500
Ho1 0.226 0.774 0.750
Ho2 0.774 0.226 0.250
Zn1 0.479 0.521 0.250
Zn2 0.521 0.479 0.750
Te1 0.118 0.882 0.250
Te2 0.348 0.652 0.054
Te3 0.348 0.652 0.446
Te4 0.652 0.348 0.554
Te5 0.652 0.348 0.946
Te6 0.882 0.118 0.750

# 3
A relaxed structure of TbHoZnTe3. Source: the Open Quantum Materials Database, functional PBE-GGA.

## Properties
space-group type: Cmcm (63)
energy: -4.26 eV/atom
crystal system: orthorhombic

Unit cell a=7.846 b=7.846 c=10.494 alpha=90.00 beta=90.00 gamma=149.48
Fractional coordinates of all 12 atoms:
Tb1 0.225 0.775 0.750
Tb2 0.775 0.225 0.250
Ho1 0.000 0.000 0.000
Ho2 0.000 0.000 0.500
Zn1 0.477 0.523 0.250
Zn2 0.523 0.477 0.750
Te1 0.116 0.884 0.250
Te2 0.349 0.651 0.050
Te3 0.349 0.651 0.450
Te4 0.651 0.349 0.550
Te5 0.651 0.349 0.950
Te6 0.884 0.116 0.750